(1)
Computed, not measured: LaTl3V after structural relaxation at the GGA-PBE level of DFT.

abc: 5.221 5.221 5.221
angles: 90.00 90.00 90.00
Space group Pm-3m (No. 221)
Symmetry-distinct sites (fractional):
La 0.000 0.000 0.000 (multiplicity 1)
Tl 0.000 0.500 0.500 (multiplicity 3)
V 0.500 0.500 0.500 (multiplicity 1)

## Properties
Relative energy among the computed polymorphs: 0 meV per atom
Formation energy: 0.145 eV/atom
Magnetic moment: 0.00 μB/f.u.
Total energy: -4.0840 eV/atom

***

(2)
Computed, not measured: Dy5Tl2Si after structural relaxation at the GGA-PBE level of DFT.

abc: 6.967 12.647 4.942
angles: 90.00 90.00 90.00
Space group Pbam (No. 55)
Symmetry-distinct sites (fractional):
Dy 0.000 0.000 0.000 (multiplicity 2)
Dy 0.138 0.283 0.000 (multiplicity 4)
Dy 0.170 0.586 0.500 (multiplicity 4)
Tl 0.102 0.840 0.500 (multiplicity 4)
Si 0.000 0.500 0.000 (multiplicity 2)

## Properties
Raw formation energy: -0.40 eV per atom
Magnetic moment: 0.00 μB/f.u.
Total energy: -4.5483 eV/atom